VASP calculation (PBE) on crystalline LaAl2Au at its relaxed geometry.

For the formation energy, the calculation gives -0.41 eV per atom. The volume comes out at 176 Å³/cell. The calculation puts the magnetic moment at 0.00 μB/cell.

The structure belongs to space group I-4m2 (No. 119); the cell edges are 5.0020, 5.0020 and 7.0191 Å and the angles 90.00°, 90.00° and 90.00°. The inequivalent atoms are La at (0.0000, 0.0000, 0.0000), Al at (0.0000, 0.0000, 0.5000), Al at (0.0000, 0.5000, 0.7500) and Au at (0.0000, 0.5000, 0.2500).